(1)
# SrCdO2

A relaxed SrCdO2 crystal (GGA-PBE, the Alexandria database).

Summary:
As for the uncorrected formation energy: -1816 meV per atom. The total moment comes out at 0.00 μB per atom. The value obtained for the raw total energy is -4.9440 eV per atom.

```
SrCdO2
1.0
5.335 0.000 0.000
0.000 5.335 0.000
0.000 0.000 10.895
Sr Cd O
4 4 8
Cartesian
0.000 0.000 0.000
0.000 2.667 2.724
2.667 0.000 8.171
2.667 2.667 5.448
0.000 0.000 5.448
0.000 2.667 8.171
2.667 0.000 2.724
2.667 2.667 0.000
1.195 1.334 6.810
1.334 3.862 9.533
1.334 4.140 4.086
1.472 1.334 1.362
3.862 4.001 1.362
4.001 1.195 4.086
4.001 1.472 9.533
4.140 4.001 6.810
```

***

(2)
# Zr2HPdW

A relaxed Zr2HPdW crystal (GGA-PBE, the Alexandria database).

Summary:
The total moment comes out at 0.00 μB per atom. The value obtained for the raw total energy is -7.9442 eV per atom.

```
Zr2HPdW
1.0
4.667 0.000 0.000
0.000 4.667 0.000
0.000 0.000 3.586
Zr H Pd W
2 1 1 1
Cartesian
0.000 2.333 0.000
2.333 0.000 0.000
0.000 0.000 0.000
2.333 2.333 1.793
0.000 0.000 1.793
```

***

(3)
# DySnI2

A relaxed DySnI2 crystal (GGA-PBE, the Alexandria database).

Summary:
As for the uncorrected formation energy: -607 meV per atom. The total moment comes out at 0.00 μB per atom. The value obtained for the raw total energy is -3.5337 eV per atom.

```
DySnI2
1.0
3.863 0.000 0.000
-1.931 3.345 0.000
0.000 0.000 32.753
Dy Sn I
3 3 6
Cartesian
0.000 0.000 0.000
0.000 2.230 21.836
1.931 1.115 10.918
0.000 0.000 16.377
0.000 2.230 5.459
1.931 1.115 27.294
0.000 0.000 13.052
0.000 0.000 19.701
0.000 2.230 2.134
0.000 2.230 8.784
1.931 1.115 23.970
1.931 1.115 30.619
```

***

(4)
# AcTl3Pb

A relaxed AcTl3Pb crystal (GGA-PBE, the Alexandria database).

Summary:
The total moment comes out at 0.00 μB per atom. The energy above the most stable polymorph in this dataset is 0 meV per atom. The value obtained for the raw total energy is -3.2124 eV per atom. The value obtained for the formation energy is -0.2292 eV/atom.

```
AcTl3Pb
1.0
5.140 0.000 0.000
0.000 5.095 0.000
-2.540 0.000 12.078
Ac Tl Pb
2 6 2
Cartesian
0.003 1.274 3.523
2.597 3.821 8.554
-0.003 3.821 1.030
0.019 3.821 6.044
0.027 3.821 10.940
2.573 1.274 1.138
2.580 1.274 6.033
2.603 1.274 11.048
0.021 1.274 8.298
2.578 3.821 3.780
```

***

Q: Which value of total moment does entry 3 give?
A: 0.00 μB per atom

***

Q: Number 3 is which compound?
A: DySnI2

***

Q: Which of these has the highest raw total energy?
A: AcTl3Pb